Record 1
{
  "formula": "CdTe2",
  "functional": "GGA-PBE",
  "state": "optimized geometry",
  "lattice_angstrom": [[-4.6668, -2.2319, 4.5152], [-2.1404, -4.6931, -4.5322], [2.9350, -2.8891, 1.6055]],
  "species": ["Te", "Te", "Te", "Te", "Cd", "Cd"],
  "fractional_positions": [[0.3111, 0.6889, 0.5000], [0.1889, 0.1889, 0.0000], [0.8111, 0.8111, 0.0000], [0.6889, 0.3111, 0.5000], [0.0000, 0.0000, 0.5000], [0.5000, 0.5000, 0.0000]],
  "space_group": "P4_2/mnm, No. 136",
  "magmom_total_mub_per_fu": 0.00,
  "e_form_raw_mev_per_atom": 174,
  "vol_a3_per_fu": 104,
  "n_ef_per_ev_atom": 0.94
}

Record 2
{
  "formula": "AsPOsCl2",
  "functional": "GGA-PBE",
  "state": "optimized geometry",
  "lattice_angstrom": [[-3.3239, -2.3557, -2.6346], [2.5718, -4.0930, 0.4150], [-2.2859, -1.0488, 3.8217]],
  "species": ["Cl", "Cl", "As", "Os", "P"],
  "fractional_positions": [[0.0000, 0.5000, 0.0000], [0.5000, 0.0000, 0.0000], [0.5000, 0.5000, 0.5000], [0.0000, 0.0000, 0.0000], [0.0000, 0.0000, 0.5000]],
  "space_group": "P4/mmm, No. 123",
  "magmom_total_mub_per_fu": 1.31,
  "e_above_lowest_polymorph_ev_per_atom": 0.0000,
  "e_form_raw_mev_per_atom": 711,
  "vol_a3_per_fu": 108,
  "n_ef_per_ev_atom": 0.79
}

Record 3
{
  "formula": "Ce2Pr3Ru4",
  "functional": "GGA-PBE",
  "state": "optimized geometry",
  "lattice_angstrom": [[-2.5755, 2.5928, -2.2473], [4.7879, -1.6206, -3.2617], [-5.6092, -7.0352, -1.6882]],
  "species": ["Ru", "Ru", "Ru", "Ru", "Ce", "Ce", "Pr", "Pr", "Pr"],
  "fractional_positions": [[0.2828, 0.5656, 0.9025], [0.0915, 0.1831, 0.6327], [0.7172, 0.4344, 0.0975], [0.9085, 0.8169, 0.3673], [0.6750, 0.3501, 0.7840], [0.3250, 0.6499, 0.2160], [0.6230, 0.2460, 0.3868], [0.3770, 0.7540, 0.6132], [0.0000, 0.0000, 0.0000]],
  "formation_energy_mev_per_atom": -295,
  "space_group": "C2/m, No. 12",
  "magmom_total_mub_per_fu": 0.00,
  "e_above_lowest_polymorph_ev_per_atom": 0.0000,
  "vol_a3_per_fu": 217,
  "n_ef_per_ev_atom": 0.69
}

Record 4
{
  "formula": "Ca4NiP",
  "functional": "GGA-PBE",
  "state": "optimized geometry",
  "lattice_angstrom": [[0.0000, 4.4059, 4.4059], [4.4059, 0.0000, 4.4059], [4.4059, 4.4059, 0.0000]],
  "species": ["Ca", "Ca", "Ca", "Ca", "P", "Ni"],
  "fractional_positions": [[0.8760, 0.3747, 0.3747], [0.3747, 0.3747, 0.8760], [0.3747, 0.8760, 0.3747], [0.3747, 0.3747, 0.3747], [0.0000, 0.0000, 0.0000], [0.7500, 0.7500, 0.7500]],
  "formation_energy_mev_per_atom": 661,
  "space_group": "F-43m, No. 216",
  "magmom_total_mub_per_fu": 0.00,
  "vol_a3_per_fu": 171,
  "n_ef_per_ev_atom": 0.87
}

What did the fourth record say?
{
  "formula": "Ca4NiP",
  "functional": "GGA-PBE",
  "state": "optimized geometry",
  "lattice_angstrom": [[0.0000, 4.4059, 4.4059], [4.4059, 0.0000, 4.4059], [4.4059, 4.4059, 0.0000]],
  "species": ["Ca", "Ca", "Ca", "Ca", "P", "Ni"],
  "fractional_positions": [[0.8760, 0.3747, 0.3747], [0.3747, 0.3747, 0.8760], [0.3747, 0.8760, 0.3747], [0.3747, 0.3747, 0.3747], [0.0000, 0.0000, 0.0000], [0.7500, 0.7500, 0.7500]],
  "formation_energy_mev_per_atom": 661,
  "space_group": "F-43m, No. 216",
  "magmom_total_mub_per_fu": 0.00,
  "vol_a3_per_fu": 171,
  "n_ef_per_ev_atom": 0.87
}